Density functional theory data (GGA-PBE) for a relaxed structure of Sr2AgSnAu6.

Results
The uncorrected energy comes out at -0.1172 hartree per atom. The value obtained for the density of states at the Fermi level is 0.42 states/eV per atom. Its total magnetization is 0.0 μB/f.u. The value obtained for the calculated density is 9.3 g cm⁻³.

Cell lengths 10.410, 10.410, 10.410 Å; angles 90.00, 90.00, 90.00 degrees
Space group Fm-3m (No. 225)
Asymmetric unit:
Sr 0.250 0.250 0.250
Ag 0.000 0.000 0.000
Sn 0.000 0.000 0.500
Au 0.000 0.000 0.248